(1)
A geometry-optimized La2TiZnRu structure, computed with GGA-PBE.

Geometry as POSCAR:
```
La2TiZnRu
1.0
5.575 0.000 0.000
0.000 5.575 0.000
0.000 0.000 4.682
La Ti Zn Ru
2 1 1 1
Direct
0.000 0.500 0.000
0.500 0.000 0.000
0.000 0.000 0.500
0.500 0.500 0.500
0.000 0.000 0.000
```

DFT formation energy, kJ/mol of atoms: 7
Calculated volume, Å³ per atom: 29.1
Space-group type: P4/mmm (123)

(2)
A geometry-optimized Ac3TmO structure, computed with GGA-PBE.

Geometry as POSCAR:
```
Ac3TmO
1.0
5.392 0.000 0.000
0.000 5.392 0.000
0.000 0.000 5.392
Ac Tm O
3 1 1
Direct
0.000 0.000 0.500
0.000 0.500 0.000
0.500 0.000 0.000
0.500 0.500 0.500
0.000 0.000 0.000
```

Calculated volume, Å³ per atom: 31.4
Formation energy from raw total energies, eV/atom: -1.057
Space-group type: Pm-3m (221)

(3)
A geometry-optimized CaTc2H structure, computed with GGA-PBE.

Geometry as POSCAR:
```
CaTc2H
1.0
0.000 3.160 3.160
3.160 0.000 3.160
3.160 3.160 0.000
Ca Tc H
1 2 1
Direct
0.000 0.000 0.000
0.250 0.250 0.250
0.750 0.750 0.750
0.500 0.500 0.500
```

E above lowest polymorph, meV per atom: 1339.9
Calculated volume, Å³ per atom: 15.8
Space-group type: Fm-3m (225)

(4)
A geometry-optimized LiAc2Al4Ga3 structure, computed with GGA-PBE.

Geometry as POSCAR:
```
LiAc2Al4Ga3
1.0
4.461 0.000 0.000
0.000 4.461 0.000
0.000 0.000 10.998
Li Ac Al Ga
1 2 4 3
Direct
0.000 0.000 0.000
0.000 0.500 0.750
0.500 0.000 0.250
0.000 0.000 0.500
0.000 0.500 0.129
0.500 0.000 0.871
0.500 0.500 0.500
0.000 0.500 0.366
0.500 0.000 0.634
0.500 0.500 0.000
```

DFT formation energy, kJ/mol of atoms: -40
Calculated volume, Å³ per atom: 21.9
Space-group type: P-4m2 (115)

(5)
A geometry-optimized NaCuBiO4 structure, computed with GGA-PBE.

Geometry as POSCAR:
```
NaCuBiO4
1.0
-2.987 3.281 5.067
2.987 -3.281 5.067
2.987 3.281 -5.067
Na Cu Bi O
2 2 2 8
Direct
0.420 0.170 0.250
0.580 0.830 0.750
0.000 0.000 0.500
0.000 0.500 0.000
0.000 0.500 0.500
0.500 0.500 0.000
0.161 0.714 0.447
0.233 0.286 0.947
0.265 0.279 0.514
0.265 0.751 0.986
0.735 0.249 0.014
0.735 0.721 0.486
0.767 0.714 0.053
0.839 0.286 0.553
```

Calculated volume, Å³ per atom: 14.2
Formation energy from raw total energies, eV/atom: -0.944
Space-group type: Imma (74)

(6)
A geometry-optimized Pm2DyEr2Sc2 structure, computed with GGA-PBE.

Geometry as POSCAR:
```
Pm2DyEr2Sc2
1.0
5.678 -1.712 0.000
5.678 1.712 0.000
-3.708 0.000 10.937
Pm Dy Er Sc
2 1 2 2
Direct
0.172 0.172 0.089
0.828 0.828 0.911
0.500 0.500 0.500
0.045 0.045 0.767
0.955 0.955 0.233
0.271 0.271 0.631
0.729 0.729 0.369
```

DFT formation energy, kJ/mol of atoms: 10
Calculated volume, Å³ per atom: 30.4
Space-group type: C2/m (12)

(7)
A geometry-optimized TaPBrCl2 structure, computed with GGA-PBE.

Geometry as POSCAR:
```
TaPBrCl2
1.0
4.763 0.000 0.000
0.000 4.763 0.000
0.000 0.000 5.070
Ta P Br Cl
1 1 1 2
Direct
0.000 0.000 0.000
0.000 0.000 0.500
0.500 0.500 0.500
0.000 0.500 0.000
0.500 0.000 0.000
```

E above lowest polymorph, meV per atom: 0.0
Calculated volume, Å³ per atom: 23.0
Formation energy from raw total energies, eV/atom: -0.242
Space-group type: P4/mmm (123)

(8)
A geometry-optimized Ta2MnCrH structure, computed with GGA-PBE.

Geometry as POSCAR:
```
Ta2MnCrH
1.0
4.354 0.000 0.000
0.000 4.354 0.000
0.000 0.000 3.219
Ta Mn Cr H
2 1 1 1
Direct
0.000 0.500 0.000
0.500 0.000 0.000
0.000 0.000 0.500
0.500 0.500 0.500
0.000 0.000 0.000
```

Calculated volume, Å³ per atom: 12.2
Space-group type: P4/mmm (123)
Electronic total energy, eV per cell: -46.2

- What is the formula in the fifth record?
  NaCuBiO4

- Which formula does entry 1 have?
  La2TiZnRu